The following is a PBE calculation of an optimized crystal structure of CeDyGa, from the Alexandria database.

Cell lengths 4.958, 4.958, 3.599 Å; angles 90.00, 90.00, 120.00 degrees
Sites, in units of the cell vectors:
Ce 0.000 0.000 0.000
Dy 0.667 0.333 0.581
Ga 0.333 0.667 0.345

Calculated values
total moment: 0.888 μB/cell
total energy: -4.7230 eV/atom
ΔE_f: -0.20 eV per atom
energy above the most stable polymorph in this dataset: 0.145 eV/atom
crystal system: trigonal